! Li2TmAu2 (PBE, relaxed); values from VASP
&SYSTEM
  ibrav = 0, nat = 5, ntyp = 3
/
ATOMIC_SPECIES
Li 6.94 Li.upf
Tm 168.93 Tm.upf
Au 196.97 Au.upf
CELL_PARAMETERS angstrom
-0.493 -3.464 -1.434
3.106 -1.188 1.801
-5.025 0.641 5.141
ATOMIC_POSITIONS crystal
Li 0.250 0.750 0.500
Li 0.750 0.250 0.500
Tm 0.000 0.000 0.000
Au 0.607 0.607 0.214
Au 0.393 0.393 0.786
! Energy above the most stable polymorph in this dataset in kJ/mol of atoms: 0.0
! D(E_F) in states/eV/f.u.: 2.33
! Final energy in Ha/atom: -0.131

! LiTm2Au6 (PBE, relaxed); values from VASP
&SYSTEM
  ibrav = 0, nat = 9, ntyp = 3
/
ATOMIC_SPECIES
Au 196.97 Au.upf
Tm 168.93 Tm.upf
Li 6.94 Li.upf
CELL_PARAMETERS angstrom
-2.614 1.911 -1.537
-4.052 -6.159 -0.767
-0.847 4.189 6.654
ATOMIC_POSITIONS crystal
Au 0.000 0.044 0.696
Au 0.000 0.348 0.304
Tm 0.500 0.300 0.599
Au 0.000 0.956 0.304
Au 0.500 0.698 0.000
Li 0.000 0.000 0.000
Au 0.500 0.302 0.000
Au 0.000 0.652 0.696
Tm 0.500 0.700 0.401
! Energy above the most stable polymorph in this dataset in kJ/mol of atoms: 3.9
! D(E_F) in states/eV/f.u.: 3.84
! Final energy in Ha/atom: -0.147

! LiTmAu2 (PBE, relaxed); values from VASP
&SYSTEM
  ibrav = 0, nat = 4, ntyp = 3
/
ATOMIC_SPECIES
Li 6.94 Li.upf
Au 196.97 Au.upf
Tm 168.93 Tm.upf
CELL_PARAMETERS angstrom
-2.710 3.311 2.182
-4.739 -0.667 0.412
-1.930 -0.929 4.299
ATOMIC_POSITIONS crystal
Li 0.500 0.500 0.500
Au 0.250 0.250 0.250
Tm 0.000 0.000 0.000
Au 0.750 0.750 0.750
! Energy above the most stable polymorph in this dataset in kJ/mol of atoms: 0.0
! D(E_F) in states/eV/f.u.: 2.07
! Final energy in Ha/atom: -0.146

! LiTmAu3 (PBE, relaxed); values from VASP
&SYSTEM
  ibrav = 0, nat = 10, ntyp = 3
/
ATOMIC_SPECIES
Au 196.97 Au.upf
Li 6.94 Li.upf
Tm 168.93 Tm.upf
CELL_PARAMETERS angstrom
4.320 0.000 1.650
0.000 6.555 0.000
2.025 0.000 7.504
ATOMIC_POSITIONS crystal
Au 0.292 0.750 0.456
Au 0.949 0.460 0.801
Li 0.683 0.750 0.069
Tm 0.486 0.250 0.264
Li 0.317 0.250 0.931
Au 0.051 0.960 0.199
Au 0.051 0.540 0.199
Au 0.949 0.040 0.801
Au 0.708 0.250 0.544
Tm 0.514 0.750 0.736
! D(E_F) in states/eV/f.u.: 1.36
! Final energy in Ha/atom: -0.142